No. 1
P2RhSeO: optimized geometry, GGA-PBE.

Structure (CIF):
```
data_P2RhSeO
_chemical_formula_sum 'P2 Rh1 Se1 O1'
_space_group_name_H-M_alt 'P 4/m m m'
_space_group_IT_number 123
_space_group_name_Hall '-P 4 2'
_cell_length_a 4.7601
_cell_length_b 4.7601
_cell_length_c 3.5480
_cell_angle_alpha 90.00
_cell_angle_beta 90.00
_cell_angle_gamma 90.00
loop_
_atom_site_label
_atom_site_fract_x
_atom_site_fract_y
_atom_site_fract_z
P1 0.0000 0.5000 0.0000
Rh1 0.0000 0.0000 0.5000
Se1 0.5000 0.5000 0.0000
O1 0.5000 0.5000 0.5000
```

formation energy from raw total energies = 704 meV/atom

---

No. 2
SiP2RhO: optimized geometry, GGA-PBE.

Structure (CIF):
```
data_SiP2RhO
_chemical_formula_sum 'Si1 P2 Rh1 O1'
_space_group_name_H-M_alt 'P 4/m m m'
_space_group_IT_number 123
_space_group_name_Hall '-P 4 2'
_cell_length_a 4.7946
_cell_length_b 4.7946
_cell_length_c 3.6637
_cell_angle_alpha 90.00
_cell_angle_beta 90.00
_cell_angle_gamma 90.00
loop_
_atom_site_label
_atom_site_fract_x
_atom_site_fract_y
_atom_site_fract_z
Si1 0.0000 0.0000 0.0000
P1 0.0000 0.5000 0.5000
Rh1 0.5000 0.5000 0.5000
O1 0.5000 0.5000 0.0000
```

formation energy from raw total energies = 450 meV/atom

---

No. 3
SiP2RhO: optimized geometry, GGA-PBE.

Structure (CIF):
```
data_SiP2RhO
_chemical_formula_sum 'Si1 P2 Rh1 O1'
_space_group_name_H-M_alt 'P 4/m m m'
_space_group_IT_number 123
_space_group_name_Hall '-P 4 2'
_cell_length_a 4.6781
_cell_length_b 4.6781
_cell_length_c 3.1997
_cell_angle_alpha 90.00
_cell_angle_beta 90.00
_cell_angle_gamma 90.00
loop_
_atom_site_label
_atom_site_fract_x
_atom_site_fract_y
_atom_site_fract_z
Si1 0.0000 0.0000 0.0000
P1 0.0000 0.5000 0.0000
Rh1 0.5000 0.5000 0.5000
O1 0.0000 0.0000 0.5000
```

formation energy from raw total energies = -141 meV/atom

---

| no. | E (eV per atom) | energy above the lowest structure with this stoichiometry (meV/atom) | calculated volume (Å³ per cell) |
| --- | --- | --- | --- |
| 1 | -4.619 | 414.7 | 80.4 |
| 2 | -5.260 | 590.7 | 84.2 |
| 3 | -5.851 | 0.0 | 70.0 |